Below is RbLaYPb2 after structural relaxation, with properties calculated at the PBE level.

Results
Formation enthalpy at 0 K ... 0.68 eV/atom

a = 6.1055 Å, b = 6.1055 Å, c = 6.0301 Å
α = 90.00°, β = 90.00°, γ = 90.00°
Space group P4/mmm (No. 123)
Asymmetric unit:
Rb: 0.0000 0.0000 0.0000 x1
La: 0.0000 0.0000 0.5000 x1
Y: 0.5000 0.5000 0.0000 x1
Pb: 0.0000 0.5000 0.5000 x2